First-principles (PBE) data for crystalline Cu2AgPt at its relaxed geometry, as listed in Alexandria via LeMat-Bulk.

```
Cu2AgPt
1.0
-4.216 -5.107 5.974
-1.797 -6.440 5.903
-2.117 -4.246 7.552
Ag Cu Pt
1 2 1
Cartesian
-6.098 -11.845 14.572 Ag
-4.081 -7.927 9.752 Cu
-8.114 -15.762 19.391 Cu
-2.033 -3.948 4.857 Pt
```

Energy of formation from the pure elements, eV per atom: -0.017

***

First-principles (PBE) data for crystalline Cu4AgPt at its relaxed geometry, as listed in Alexandria via LeMat-Bulk.

```
Cu4AgPt
1.0
0.000 3.437 3.437
3.437 0.000 3.437
3.437 3.437 0.000
Ag Cu Pt
1 4 1
Cartesian
0.000 0.000 0.000 Ag
2.579 2.579 2.579 Cu
4.295 2.579 4.295 Cu
2.579 4.295 4.295 Cu
4.295 4.295 2.579 Cu
5.156 5.156 5.156 Pt
```

Energy of formation from the pure elements, eV per atom: 0.008

***

Total magnetization values (in Bohr magnetons per cell) by entry order: 0.00, 0.00.
Polymorph energy (0 for the lowest one) values (in eV/atom) by entry order: 0.0498, 0.0271.